<w>
Entry from the Alexandria database: crystalline SbSe2Br at its relaxed geometry (GGA-PBE).

- DOS at the Fermi energy (states/eV/cell) = 4.39
- density (g/cm3) = 5.63

```
SbSe2Br
1.0
2.966 -4.229 0.000
2.966 4.229 0.000
-2.922 0.000 4.230
Sb Se Br
1 2 1
Direct
0.000 0.000 0.000 Sb
0.000 0.500 0.500 Se
0.500 0.000 0.500 Se
0.500 0.500 0.000 Br
```


<x>
Entry from the Alexandria database: crystalline SbSe2Br at its relaxed geometry (GGA-PBE).

- DOS at the Fermi energy (states/eV/cell) = 3.18
- density (g/cm3) = 6.22

```
SbSe2Br
1.0
4.153 0.000 0.000
0.000 4.153 0.000
0.000 0.000 5.563
Sb Se Br
1 2 1
Direct
0.000 0.000 0.000 Sb
0.000 0.500 0.500 Se
0.500 0.000 0.500 Se
0.500 0.500 0.000 Br
```


Which of them is least stable? Easy: <x>.